DFT (GGA-PBE) results for an optimized crystal structure of Cs2KLiBr4.

Cell: 13.3387 13.3933 9.6995 Å, 90.00 132.76 90.00°
With the nearest neighbours (Å) after each atom.
Space group C2/c (No. 15)
Unique sites:
Cs1 0.0000 0.0000 0.0000 [4 per cell]  6 Br 3.47-3.70
Cs2 0.2500 0.2500 0.0000 [4 per cell]  6 Br 3.55-3.84
K1 0.0000 0.5000 0.0000 [4 per cell]  6 Br 3.25-3.47
Li1 0.2500 0.2500 0.5000 [4 per cell]  4 Br 2.83-2.94
Br1 0.0403 0.2580 0.5053 [8 per cell]  1 Li 2.83
Br2 0.2338 0.4694 0.4843 [8 per cell]  1 Li 2.94, 1 K 3.25

Summary:
The final energy comes out at -97.82 eV/cell. The calculation puts the spin magnetization at 0.000 μB per formula unit.

=====

DFT (GGA-PBE) results for an optimized crystal structure of Sb2OsPd.

Cell: 6.0990 6.0990 11.4704 Å, 90.00 90.00 90.00°
With the nearest neighbours (Å) after each atom.
Space group I-42d (No. 122)
Unique sites:
Sb1 0.2391 0.2500 0.1250 [8 per cell]  2 Os 2.55, 2 Pd 2.63
Os1 0.0000 0.0000 0.0000 [4 per cell]  4 Sb 2.55
Pd1 0.0000 0.0000 0.5000 [4 per cell]  4 Sb 2.63

Summary:
The energy above the lowest structure with this stoichiometry comes out at 102.3 meV/atom. The calculation puts the spin magnetization at 0.000 μB per formula unit.

=====

DFT (GGA-PBE) results for an optimized crystal structure of CsIn4Ga.

Cell: 5.2087 8.4829 10.9135 Å, 112.65 103.79 90.14°
With the nearest neighbours (Å) after each atom.
Space group P-1 (No. 2)
Unique sites:
Cs1 0.2053 0.2051 0.4104 [2 per cell]  11 In 4.02-4.37
In1 0.0025 0.1830 0.0092 [2 per cell]  2 Ga 3.03, 5 In 3.03-3.33
In2 0.1375 0.6518 0.2740 [2 per cell]  2 Ga 2.97, 2 In 3.31
In3 0.4039 0.1687 0.8103 [2 per cell]  2 Ga 3.02, 4 In 3.31-3.33
In4 0.4042 0.6388 0.8078 [2 per cell]  2 Ga 3.02, 2 In 3.24-3.25
Ga1 0.2518 0.4996 0.0001 [2 per cell]  2 Ga 2.59-2.62

Summary:
The energy of formation is -68.6 meV/atom. The calculation puts the spin magnetization at 0.000 μB per formula unit.

=====

DFT (GGA-PBE) results for an optimized crystal structure of Mo3Pt2Rh.

Cell: 11.6716 7.2252 4.9059 Å, 90.00 114.74 90.00°
With the nearest neighbours (Å) after each atom.
Space group C2/c (No. 15)
Unique sites:
Mo1 0.0000 0.1395 0.2500 [4 per cell]  6 Pt 2.81-2.83, 2 Rh 2.88, 4 Mo 2.97-3.07
Mo2 0.2217 0.4120 0.4712 [8 per cell]  1 Mo 2.42, 1 Pt 2.66
Pt1 0.1254 0.2033 0.8745 [8 per cell]  5 Mo 2.66-2.96, 2 Pt 2.66-2.73, 2 Rh 2.80-2.81
Rh1 0.0000 0.5000 0.0000 [4 per cell]  2 Rh 2.45, 4 Mo 2.73

Summary:
The energy of formation is -31.1 meV/atom. The calculation puts the spin magnetization at 0.000 μB per formula unit.